Compound: Nb2RhAu
Source: Alexandria via LeMat-Bulk
Functional: GGA-PBE
Structure: optimized geometry

a b c (Å): 6.5671 6.5671 6.5671
angles (deg): 34.02 34.02 34.02
With the nearest neighbours (Å) after each atom.
Fractional positions:
Nb1 0.0000 0.0000 0.0000  3 Rh 2.59, 3 Au 2.89
Nb2 0.1940 0.1940 0.1940  3 Rh 2.54, 3 Au 2.82
Rh1 0.5943 0.5943 0.5943  6 Nb 2.54-2.59
Au1 0.4331 0.4331 0.4331  6 Nb 2.82-2.89, 1 Rh 2.99

Output
The density of states at the Fermi level comes out at 1.269 states/eV/atom. The value obtained for the formation energy is 219 meV per atom. The energy is -7.47 eV/atom.

---

Compound: NbRhAu2
Source: Alexandria via LeMat-Bulk
Functional: GGA-PBE
Structure: optimized geometry

a b c (Å): 2.8735 8.6226 8.6226
angles (deg): 19.12 90.00 90.00
With the nearest neighbours (Å) after each atom.
Fractional positions:
Nb1 0.0000 0.0000 0.0000  4 Rh 2.72, 4 Nb 2.86-2.87, 4 Au 2.92
Rh1 0.5000 0.3931 0.3931  4 Nb 2.72, 4 Rh 2.86-2.87, 4 Au 2.91
Au1 0.0000 0.7703 0.7703  6 Au 2.86-2.88, 4 Rh 2.91
Au2 0.5000 0.6239 0.6239  6 Au 2.86-2.88, 4 Nb 2.92

Output
The density of states at the Fermi level comes out at 0.384 states/eV/atom. The value obtained for the formation energy is -138 meV per atom. The energy is -6.13 eV/atom.

---

Compound: Nb3RhAu
Source: Alexandria via LeMat-Bulk
Functional: GGA-PBE
Structure: optimized geometry

a b c (Å): 4.7936 4.7936 4.7936
angles (deg): 90.00 90.00 90.00
With the nearest neighbours (Å) after each atom.
Fractional positions:
Nb1 0.0000 0.0000 0.5000  2 Rh 2.40
Nb2 0.0000 0.5000 0.0000  2 Rh 2.40
Nb3 0.5000 0.0000 0.0000  2 Rh 2.40
Rh1 0.0000 0.0000 0.0000  6 Nb 2.40
Au1 0.5000 0.5000 0.5000  12 Nb 3.39

Output
The density of states at the Fermi level comes out at 0.824 states/eV/atom. The value obtained for the formation energy is 938 meV per atom. The energy is -7.23 eV/atom.

---

Compound: NbTcRhAu2
Source: Alexandria via LeMat-Bulk
Functional: GGA-PBE
Structure: optimized geometry

a b c (Å): 5.0719 5.0719 4.6437
angles (deg): 90.00 90.00 90.00
With the nearest neighbours (Å) after each atom.
Fractional positions:
Nb1 0.0000 0.0000 0.0000  2 Rh 2.32, 4 Au 2.54
Tc1 0.5000 0.5000 0.5000  8 Au 3.44, 4 Rh 3.59
Rh1 0.0000 0.0000 0.5000  2 Nb 2.32
Au1 0.0000 0.5000 0.0000  2 Nb 2.54
Au2 0.5000 0.0000 0.0000  2 Nb 2.54

Output
The density of states at the Fermi level comes out at 1.279 states/eV/atom. The value obtained for the formation energy is 1494 meV per atom. The energy is -5.37 eV/atom.

---

Compound: TiNbRhAu
Source: Alexandria via LeMat-Bulk
Functional: GGA-PBE
Structure: optimized geometry

a b c (Å): 2.8698 2.8698 7.9898
angles (deg): 90.00 90.00 90.00
With the nearest neighbours (Å) after each atom.
Fractional positions:
Ti1 0.0000 0.0000 0.0000  4 Rh 2.67, 4 Ti 2.87, 4 Au 2.93
Nb1 0.0000 0.0000 0.5368  4 Rh 2.83, 4 Nb 2.87, 4 Au 2.98
Rh1 0.5000 0.5000 0.7833  4 Ti 2.67, 4 Nb 2.83, 4 Rh 2.87
Au1 0.5000 0.5000 0.2640  4 Au 2.87, 4 Ti 2.93, 4 Nb 2.98

Output
The density of states at the Fermi level comes out at 1.079 states/eV/atom. The value obtained for the formation energy is -399 meV per atom. The energy is -7.55 eV/atom.

---

Compound: TiNbRhAu
Source: Alexandria via LeMat-Bulk
Functional: GGA-PBE
Structure: optimized geometry

a b c (Å): 4.5202 4.5202 4.5202
angles (deg): 60.00 60.00 60.00
With the nearest neighbours (Å) after each atom.
Fractional positions:
Ti1 0.0000 0.0000 0.0000  4 Nb 2.77, 4 Au 2.77
Nb1 0.2500 0.2500 0.2500  4 Rh 2.77, 4 Ti 2.77
Rh1 0.5000 0.5000 0.5000  4 Nb 2.77, 4 Au 2.77
Au1 0.7500 0.7500 0.7500  4 Rh 2.77, 4 Ti 2.77

Output
The density of states at the Fermi level comes out at 0.965 states/eV/atom. The value obtained for the formation energy is -272 meV per atom. The energy is -7.42 eV/atom.

---

Among the records above, which one has the lowest formation energy? number 5

---

Look up the formation energy of the sixth one. -272 meV per atom